Run P
Entry from Alexandria: Sc5Os3 after structural relaxation (PBE-GGA).

Geometry as POSCAR:
```
Sc5Os3
1.0
-6.797 -0.944 -3.733
-2.772 -7.186 -1.311
-2.798 0.157 5.055
Os Sc
6 10
Cartesian
-7.299 -3.302 1.018
-5.068 -4.671 -1.008
-7.566 -7.442 0.999
-1.799 -2.810 0.744
-7.573 -7.716 -2.300
-3.771 -4.218 3.000
-6.453 -2.523 -1.842
-5.914 -5.449 1.852
-5.234 -7.391 -1.016
-2.817 -1.746 3.451
-6.379 -5.420 -3.363
-7.778 -5.341 -0.836
-3.190 -2.710 -1.682
-4.589 -2.631 0.846
-7.133 -0.581 1.026
-2.752 -5.283 0.292
```

Results
size of the total moment = 0.00 μB per formula unit
symmetry = P6_3/mcm

Run Q
Entry from Alexandria: Sc5Os3 after structural relaxation (PBE-GGA).

Geometry as POSCAR:
```
Sc5Os3
1.0
-5.406 0.278 1.945
-0.718 -0.465 7.962
3.680 7.080 -0.674
Sc Os
10 6
Cartesian
-2.587 3.491 5.072
0.142 3.409 4.162
-0.794 1.672 7.081
-1.653 5.227 2.154
1.469 6.023 2.211
-3.916 0.876 7.023
-0.186 4.709 7.214
-2.261 2.190 2.020
-4.589 1.050 4.002
2.143 5.850 5.232
-1.343 0.095 0.512
-1.104 6.804 8.723
-1.259 5.806 4.892
-1.187 1.094 4.342
-2.910 3.422 7.726
0.464 3.478 1.507
```

Results
size of the total moment = 0.00 μB per formula unit
symmetry = C2/c

Relative energies, meV/atom: run P 0; run Q 10.